Entry 1:
8
Lattice="4.312 0.000 0.000 0.000 7.450 0.122 0.000 -2.624 8.031" Properties=species:S:1:pos:R:3 comment="Rb2ThNpSe4 (PBE-GGA, optimized geometry)" magnetic_moment_mub_per_atom=0.6168 e_tot_ev_per_fu=-47.4 space_group="P2/m, No. 10" pbc="T T T"
Rb 0.000 2.413 4.077
Rb 2.156 -1.312 4.016
Se 2.156 1.224 1.629
Se 0.000 4.926 1.721
Se 0.000 -0.100 6.432
Se 2.156 3.601 6.525
Th 2.156 3.725 0.061
Np 0.000 0.000 0.000

***

Entry 2:
4
Lattice="-5.005 -0.045 0.094 -2.479 -4.284 -0.750 -2.413 -2.194 3.799" Properties=species:S:1:pos:R:3 comment="HoZrGaHg (PBE-GGA, optimized geometry)" magnetic_moment_mub_per_atom=0.0000 e_tot_ev_per_fu=-17.9 delta_e_f_mev_per_atom=-356 space_group="F-43m, No. 216" pbc="T T T"
Ga -7.423 -4.892 2.357
Ho -4.949 -3.262 1.571
Hg -2.474 -1.631 0.786
Zr 0.000 0.000 0.000

***

Entry 3:
5
Lattice="-0.057 3.823 1.870 0.381 -1.859 3.810 3.862 0.199 -0.289" Properties=species:S:1:pos:R:3 comment="LiS2NO (PBE-GGA, optimized geometry)" magnetic_moment_mub_per_atom=0.4548 e_tot_ev_per_fu=-17.9 space_group="P4/mmm, No. 123" pbc="T T T"
S -0.028 1.911 0.935
S 0.190 -0.929 1.905
O 0.000 0.000 0.000
Li 2.093 1.081 2.696
N 1.931 0.099 -0.144

***

Entry 4:
9
Lattice="-0.338 -6.325 -1.050 5.668 2.863 0.944 -2.048 2.513 5.542" Properties=species:S:1:pos:R:3 comment="Mg2Pa2GeIr4 (PBE-GGA, optimized geometry)" magnetic_moment_mub_per_atom=0.0000 e_tot_ev_per_fu=-62.9 delta_e_f_mev_per_atom=-77 space_group="I4/mmm, No. 139" pbc="T T T"
Ge 0.000 0.000 0.000
Pa 2.515 3.735 4.506
Pa 1.105 1.641 1.980
Mg -0.288 -0.562 3.867
Mg 3.570 -0.387 1.569
Ir 0.799 -1.974 1.190
Ir 3.574 2.768 2.192
Ir 0.046 2.608 4.294
Ir 2.483 1.025 4.246